PmHfGeO6 | PBE | optimized geometry

For the total energy, the calculation gives -7.9507 eV/atom. As for the formation energy from raw total energies: -22.486 eV/f.u.

The space group is P4_2nm (No. 102) and the conventional cell measures 4.899, 4.899 and 9.781 Å, with angles of 90.00, 90.00 and 90.00 degrees. The asymmetric unit holds Pm at (0.000, 0.000, 0.000), Hf at (0.000, 0.000, 0.664), Ge at (0.000, 0.000, 0.330), O at (0.172, 0.172, 0.484), O at (0.201, 0.201, 0.192) and O at (0.221, 0.221, 0.808).


BaTl2SnH | PBE | optimized geometry

For the total energy, the calculation gives -2.9632 eV/atom.

The space group is P4/mmm (No. 123) and the conventional cell measures 5.168, 5.168 and 5.130 Å, with angles of 90.00, 90.00 and 90.00 degrees. The asymmetric unit holds Ba at (0.000, 0.000, 0.000), Tl at (0.000, 0.500, 0.500), Sn at (0.500, 0.500, 0.000) and H at (0.000, 0.000, 0.500).


BaReB2 | PBE | optimized geometry

For the total energy, the calculation gives -6.6331 eV/atom. The calculation puts the formation energy at 0.298 eV/atom. For the energy above the most stable polymorph in this dataset, the calculation gives 0.0 kJ per mole of atoms.

The space group is I4_1/amd (No. 141, origin choice 2) and the conventional cell measures 5.580, 5.580 and 11.590 Å, with angles of 90.00, 90.00 and 90.00 degrees. The asymmetric unit holds Ba at (0.000, 0.250, 0.375), Re at (0.000, 0.250, 0.875) and B at (0.000, 0.000, 0.000).


NaLiMnIr2 | PBE | optimized geometry

For the total energy, the calculation gives -4.8969 eV/atom. The calculation puts the formation energy at 1.128 eV/atom.

The space group is P4/mmm (No. 123) and the conventional cell measures 4.289, 4.289 and 3.849 Å, with angles of 90.00, 90.00 and 90.00 degrees. The asymmetric unit holds Na at (0.000, 0.000, 0.000), Li at (0.000, 0.000, 0.500), Mn at (0.500, 0.500, 0.000) and Ir at (0.000, 0.500, 0.500).


SiTeIr2 | PBE | optimized geometry

For the total energy, the calculation gives -6.5698 eV/atom. As for the formation energy from raw total energies: 0.007 eV/f.u. For the energy above the most stable polymorph in this dataset, the calculation gives 19.8 kJ per mole of atoms.

The space group is P4mm (No. 99) and the conventional cell measures 3.553, 3.553 and 5.367 Å, with angles of 90.00, 90.00 and 90.00 degrees. The asymmetric unit holds Si at (0.000, 0.000, 0.000), Te at (0.500, 0.500, 0.386), Ir at (0.000, 0.000, 0.551) and Ir at (0.500, 0.500, 0.892).


AgIrRu | PBE | optimized geometry

For the total energy, the calculation gives -6.5305 eV/atom. The calculation puts the formation energy at 0.466 eV/atom. For the energy above the most stable polymorph in this dataset, the calculation gives 21.3 kJ per mole of atoms.

The space group is Fmm2 (No. 42) and the conventional cell measures 2.770, 4.712 and 14.482 Å, with angles of 90.00, 90.00 and 90.00 degrees. The asymmetric unit holds Ag at (0.000, 0.000, 0.000), Ir at (0.000, 0.000, 0.675) and Ru at (0.000, 0.000, 0.327).


Sc2SbP | PBE | optimized geometry

For the total energy, the calculation gives -6.3593 eV/atom. As for the formation energy from raw total energies: -3.242 eV/f.u.

The space group is I-42d (No. 122) and the conventional cell measures 7.313, 7.313 and 6.763 Å, with angles of 90.00, 90.00 and 90.00 degrees. The asymmetric unit holds Sc at (0.212, 0.250, 0.125), Sb at (0.000, 0.000, 0.500) and P at (0.000, 0.000, 0.000).


Tc2P2Au | PBE | optimized geometry

For the total energy, the calculation gives -7.0589 eV/atom. The calculation puts the formation energy at -0.093 eV/atom. For the energy above the most stable polymorph in this dataset, the calculation gives 6.4 kJ per mole of atoms.

The space group is P4/mbm (No. 127) and the conventional cell measures 6.993, 6.993 and 2.899 Å, with angles of 90.00, 90.00 and 90.00 degrees. The asymmetric unit holds Tc at (0.148, 0.352, 0.000), P at (0.143, 0.643, 0.500) and Au at (0.000, 0.000, 0.500).